Model i:
A plane-wave DFT calculation with PBE was carried out for a relaxed structure of Zn3SiRh.

Lattice parameters (Å, degrees): 4.5216 4.5216 4.5216 90.00 90.00 90.00
Fractional coordinates of all 5 atoms:
Zn: 0.0000 0.5000 0.0000
Zn: 0.0000 0.0000 0.5000
Zn: 0.5000 0.0000 0.0000
Rh: 0.5000 0.5000 0.5000
Si: 0.0000 0.0000 0.0000

Results
space-group type: Pm-3m
N(E_F): 0.738 states/eV/atom

***

Model ii:
A plane-wave DFT calculation with PBE was carried out for a relaxed structure of Zn3SiRh.

Lattice parameters (Å, degrees): 4.7267 4.7267 4.7267 90.00 90.00 90.00
Fractional coordinates of all 5 atoms:
Zn: 0.0000 0.5000 0.0000
Zn: 0.0000 0.0000 0.5000
Zn: 0.5000 0.0000 0.0000
Rh: 0.0000 0.0000 0.0000
Si: 0.5000 0.5000 0.5000

Results
space-group type: Pm-3m
N(E_F): 0.781 states/eV/atom

***

Name the most stable of them. model ii.

***

Model i:
A plane-wave DFT calculation with PBE was carried out for a relaxed structure of SmRh6.

Lattice parameters (Å, degrees): 5.8373 5.8373 5.8373 109.47 109.47 109.47
Fractional coordinates of all 7 atoms:
Sm: 0.0000 0.0000 0.0000
Rh: 0.2500 0.7500 0.5000
Rh: 0.5000 0.7500 0.2500
Rh: 0.2500 0.5000 0.7500
Rh: 0.7500 0.2500 0.5000
Rh: 0.5000 0.2500 0.7500
Rh: 0.7500 0.5000 0.2500

Results
space-group type: Im-3m
N(E_F): 1.211 states/eV/atom

***

Model ii:
A plane-wave DFT calculation with PBE was carried out for a relaxed structure of SmRh6.

Lattice parameters (Å, degrees): 5.2268 8.5118 10.4765 90.00 90.00 90.00
Fractional coordinates of all 28 atoms:
Sm: 0.7500 0.2424 0.9395
Sm: 0.2500 0.7576 0.0605
Sm: 0.7500 0.7424 0.5605
Sm: 0.2500 0.2576 0.4395
Rh: 0.7500 0.6109 0.0194
Rh: 0.2500 0.3891 0.9806
Rh: 0.7500 0.1109 0.4806
Rh: 0.2500 0.8891 0.5194
Rh: 0.0056 0.4386 0.1935
Rh: 0.5056 0.5614 0.8065
Rh: 0.4944 0.9386 0.3065
Rh: 0.9944 0.0614 0.6935
Rh: 0.9944 0.5614 0.8065
Rh: 0.4944 0.4386 0.1935
Rh: 0.5056 0.0614 0.6935
Rh: 0.0056 0.9386 0.3065
Rh: 0.2500 0.1513 0.1556
Rh: 0.7500 0.8487 0.8444
Rh: 0.2500 0.6513 0.3444
Rh: 0.7500 0.3487 0.6556
Rh: 0.2500 0.8160 0.7663
Rh: 0.7500 0.1840 0.2337
Rh: 0.2500 0.3160 0.7337
Rh: 0.7500 0.6840 0.2663
Rh: 0.2500 0.5604 0.5830
Rh: 0.7500 0.4396 0.4170
Rh: 0.2500 0.0604 0.9170
Rh: 0.7500 0.9396 0.0830

Results
space-group type: Pnma
N(E_F): 1.527 states/eV/atom

***

Name the most stable of them. model ii.

***

Model i:
A plane-wave DFT calculation with PBE was carried out for a relaxed structure of TbSmRh.

Lattice parameters (Å, degrees): 7.2178 6.5295 6.8153 94.94 90.00 90.00
Fractional coordinates of all 12 atoms:
Rh: 0.5457 0.7063 0.2911
Rh: 0.9543 0.7063 0.7911
Rh: 0.0457 0.2937 0.2089
Rh: 0.4543 0.2937 0.7089
Sm: 0.8907 0.8981 0.2305
Sm: 0.6093 0.8981 0.7305
Sm: 0.3907 0.1019 0.2695
Sm: 0.1093 0.1019 0.7695
Tb: 0.2596 0.5700 0.0027
Tb: 0.2404 0.5700 0.5027
Tb: 0.7596 0.4300 0.4973
Tb: 0.7404 0.4300 0.9973

Results
space-group type: P2_1/c
N(E_F): 0.947 states/eV/atom

***

Model ii:
A plane-wave DFT calculation with PBE was carried out for a relaxed structure of TbSmRh.

Lattice parameters (Å, degrees): 5.9334 7.0137 8.1014 92.39 90.00 90.00
Fractional coordinates of all 12 atoms:
Tb: 0.8751 0.2995 0.1276
Tb: 0.6249 0.7995 0.6276
Tb: 0.1249 0.7005 0.8724
Tb: 0.3751 0.2005 0.3724
Sm: 0.3602 0.1892 0.8797
Sm: 0.6398 0.8108 0.1203
Sm: 0.8602 0.3108 0.6203
Sm: 0.1398 0.6892 0.3797
Rh: 0.3348 0.4672 0.6369
Rh: 0.6652 0.5328 0.3631
Rh: 0.1652 0.9672 0.1369
Rh: 0.8348 0.0328 0.8631

Results
space-group type: P2_1/c
N(E_F): 0.929 states/eV/atom

***

Name the most stable of them. model i.

***

Model i:
A plane-wave DFT calculation with PBE was carried out for a relaxed structure of Tb2SmRh.

Lattice parameters (Å, degrees): 3.8184 6.3254 9.5533 90.00 90.00 107.58
Fractional coordinates of all 8 atoms:
Tb: 0.1395 0.2785 0.4319
Tb: 0.8605 0.7215 0.5681
Tb: 0.8605 0.7215 0.9319
Tb: 0.1395 0.2785 0.0681
Sm: 0.4233 0.8469 0.2500
Sm: 0.5767 0.1531 0.7500
Rh: 0.7405 0.4807 0.2500
Rh: 0.2595 0.5193 0.7500

Results
space-group type: Cmcm
N(E_F): 1.284 states/eV/atom

***

Model ii:
A plane-wave DFT calculation with PBE was carried out for a relaxed structure of Tb2SmRh.

Lattice parameters (Å, degrees): 3.6814 3.6814 10.7928 80.18 80.18 60.00
Fractional coordinates of all 4 atoms:
Rh: 0.5000 0.5000 0.5000
Tb: 0.1119 0.1119 0.6642
Tb: 0.8881 0.8881 0.3358
Sm: 0.0000 0.0000 0.0000

Results
space-group type: R-3m
N(E_F): 1.444 states/eV/atom

***

Name the most stable of them. model i.

***

Model i:
A plane-wave DFT calculation with PBE was carried out for a relaxed structure of Tb2SmRh.

Lattice parameters (Å, degrees): 3.8705 3.8705 9.4206 78.15 78.15 60.00
Fractional coordinates of all 4 atoms:
Tb: 0.0584 0.0584 0.8249
Tb: 0.2742 0.2742 0.1774
Sm: 0.5013 0.5013 0.4961
Rh: 0.6661 0.6661 0.0016

Results
space-group type: R3m
N(E_F): 1.313 states/eV/atom

***

Model ii:
A plane-wave DFT calculation with PBE was carried out for a relaxed structure of Tb2SmRh.

Lattice parameters (Å, degrees): 6.3861 7.2075 9.5823 90.00 90.00 90.00
Fractional coordinates of all 16 atoms:
Tb: 0.1699 0.6764 0.0643
Tb: 0.3301 0.1764 0.4357
Tb: 0.8301 0.3236 0.5643
Tb: 0.6699 0.8236 0.9357
Tb: 0.8301 0.3236 0.9357
Tb: 0.6699 0.8236 0.5643
Tb: 0.1699 0.6764 0.4357
Tb: 0.3301 0.1764 0.0643
Sm: 0.6384 0.5347 0.2500
Sm: 0.8616 0.0347 0.2500
Sm: 0.3616 0.4653 0.7500
Sm: 0.1384 0.9653 0.7500
Rh: 0.0664 0.3820 0.2500
Rh: 0.4336 0.8820 0.2500
Rh: 0.9336 0.6180 0.7500
Rh: 0.5664 0.1180 0.7500

Results
space-group type: Pnma
N(E_F): 1.172 states/eV/atom

***

Model iii:
A plane-wave DFT calculation with PBE was carried out for a relaxed structure of Tb2SmRh.

Lattice parameters (Å, degrees): 3.5178 3.5178 8.6981 90.00 90.00 90.00
Fractional coordinates of all 4 atoms:
Rh: 0.5000 0.5000 0.0000
Tb: 0.0000 0.0000 0.8118
Tb: 0.0000 0.0000 0.1882
Sm: 0.5000 0.5000 0.5000

Results
space-group type: P4/mmm
N(E_F): 1.121 states/eV/atom

***

Name the most stable of them. model ii.

***

Model i:
A plane-wave DFT calculation with PBE was carried out for a relaxed structure of Sm4TeRh.

Lattice parameters (Å, degrees): 3.9991 8.4846 19.8442 90.00 90.00 90.00
Fractional coordinates of all 24 atoms:
Sm: 0.7500 0.8680 0.6496
Sm: 0.2500 0.1320 0.3504
Sm: 0.2500 0.6320 0.1496
Sm: 0.7500 0.3680 0.8504
Sm: 0.7500 0.8545 0.4499
Sm: 0.2500 0.1455 0.5501
Sm: 0.2500 0.6455 0.9499
Sm: 0.7500 0.3545 0.0501
Sm: 0.7500 0.0195 0.9316
Sm: 0.2500 0.9805 0.0684
Sm: 0.2500 0.4805 0.4316
Sm: 0.7500 0.5195 0.5684
Sm: 0.7500 0.9559 0.2185
Sm: 0.2500 0.0441 0.7815
Sm: 0.2500 0.5441 0.7185
Sm: 0.7500 0.4559 0.2815
Te: 0.7500 0.7493 0.8130
Te: 0.2500 0.2507 0.1870
Te: 0.2500 0.7507 0.3130
Te: 0.7500 0.2493 0.6870
Rh: 0.7500 0.2244 0.4487
Rh: 0.2500 0.7756 0.5513
Rh: 0.2500 0.2756 0.9487
Rh: 0.7500 0.7244 0.0513

Results
space-group type: Pnma
N(E_F): 0.758 states/eV/atom

***

Model ii:
A plane-wave DFT calculation with PBE was carried out for a relaxed structure of Sm4TeRh.

Lattice parameters (Å, degrees): 5.5353 10.8219 9.7557 122.24 90.00 104.82
Fractional coordinates of all 12 atoms:
Sm: 0.0276 0.0551 0.3444
Sm: 0.2008 0.4016 0.0053
Sm: 0.7485 0.4970 0.3240
Sm: 0.5998 0.1996 0.6776
Sm: 0.4002 0.8004 0.3224
Sm: 0.2515 0.5030 0.6760
Sm: 0.7992 0.5984 0.9947
Sm: 0.9724 0.9449 0.6556
Te: 0.1654 0.3308 0.2843
Te: 0.8346 0.6692 0.7157
Rh: 0.1157 0.2314 0.6724
Rh: 0.8843 0.7686 0.3276

Results
space-group type: C2/m
N(E_F): 0.954 states/eV/atom

***

Name the most stable of them. model i.

***

Model i:
A plane-wave DFT calculation with PBE was carried out for a relaxed structure of Sm2TeRh.

Lattice parameters (Å, degrees): 4.1759 4.1759 7.8022 90.03 105.49 119.99
Fractional coordinates of all 4 atoms:
Sm: 0.5257 0.2629 0.7886
Sm: 0.4743 0.7370 0.2113
Te: 0.0000 0.5000 0.5000
Rh: 0.0000 0.0000 0.0000

Results
space-group type: R-3m
N(E_F): 0.670 states/eV/atom

***

Model ii:
A plane-wave DFT calculation with PBE was carried out for a relaxed structure of Sm2TeRh.

Lattice parameters (Å, degrees): 4.1733 4.1733 7.8620 74.61 74.61 60.00
Fractional coordinates of all 4 atoms:
Sm: 0.0700 0.0700 0.7901
Sm: 0.2637 0.2637 0.2089
Te: 0.5005 0.5005 0.4985
Rh: 0.6658 0.6658 0.0025

Results
space-group type: R3m
N(E_F): 0.649 states/eV/atom

***

Model iii:
A plane-wave DFT calculation with PBE was carried out for a relaxed structure of Sm2TeRh.

Lattice parameters (Å, degrees): 3.6762 3.6762 7.4442 90.00 90.00 90.00
Fractional coordinates of all 4 atoms:
Te: 0.5000 0.5000 0.5000
Rh: 0.5000 0.5000 0.0000
Sm: 0.0000 0.0000 0.7748
Sm: 0.0000 0.0000 0.2252

Results
space-group type: P4/mmm
N(E_F): 0.544 states/eV/atom

***

Name the most stable of them. model i.

***

Model i:
A plane-wave DFT calculation with PBE was carried out for a relaxed structure of SmTh2Rh.

Lattice parameters (Å, degrees): 3.8183 6.2662 9.9941 90.00 90.00 107.66
Fractional coordinates of all 8 atoms:
Sm: 0.9177 0.8344 0.2500
Sm: 0.0823 0.1656 0.7500
Th: 0.3623 0.7243 0.5591
Th: 0.6377 0.2757 0.4409
Th: 0.3623 0.7243 0.9409
Th: 0.6377 0.2757 0.0591
Rh: 0.7945 0.5888 0.7500
Rh: 0.2055 0.4112 0.2500

Results
space-group type: P2_1/m
N(E_F): 1.203 states/eV/atom

***

Model ii:
A plane-wave DFT calculation with PBE was carried out for a relaxed structure of SmTh2Rh.

Lattice parameters (Å, degrees): 3.9063 3.9063 9.4948 78.13 78.13 60.00
Fractional coordinates of all 4 atoms:
Sm: 0.4991 0.4991 0.5027
Th: 0.0634 0.0634 0.8098
Th: 0.2708 0.2708 0.1877
Rh: 0.6667 0.6667 0.9998

Results
space-group type: R3m
N(E_F): 1.163 states/eV/atom

***

Model iii:
A plane-wave DFT calculation with PBE was carried out for a relaxed structure of SmTh2Rh.

Lattice parameters (Å, degrees): 6.3252 7.2010 10.0378 90.00 90.00 90.00
Fractional coordinates of all 16 atoms:
Sm: 0.6512 0.5389 0.2500
Sm: 0.8488 0.0389 0.2500
Sm: 0.3488 0.4611 0.7500
Sm: 0.1512 0.9611 0.7500
Th: 0.1554 0.6803 0.0597
Th: 0.3446 0.1803 0.4403
Th: 0.8446 0.3197 0.5597
Th: 0.6554 0.8197 0.9403
Th: 0.8446 0.3197 0.9403
Th: 0.6554 0.8197 0.5597
Th: 0.1554 0.6803 0.4403
Th: 0.3446 0.1803 0.0597
Rh: 0.1213 0.3909 0.2500
Rh: 0.3787 0.8909 0.2500
Rh: 0.8787 0.6091 0.7500
Rh: 0.6213 0.1091 0.7500

Results
space-group type: Pnma
N(E_F): 1.078 states/eV/atom

***

Model iv:
A plane-wave DFT calculation with PBE was carried out for a relaxed structure of SmTh2Rh.

Lattice parameters (Å, degrees): 3.8481 3.8481 9.6503 78.50 78.50 60.00
Fractional coordinates of all 4 atoms:
Rh: 0.0000 0.0000 0.0000
Sm: 0.5000 0.5000 0.5000
Th: 0.2699 0.2699 0.1904
Th: 0.7301 0.7301 0.8096

Results
space-group type: R-3m
N(E_F): 1.193 states/eV/atom

***

Name the most stable of them. model i.

***

Model i:
A plane-wave DFT calculation with PBE was carried out for a relaxed structure of Sm4Tl3Rh.

Lattice parameters (Å, degrees): 3.6176 3.6176 16.4691 90.00 90.00 90.00
Fractional coordinates of all 8 atoms:
Tl: 0.5000 0.5000 0.2385
Tl: 0.5000 0.5000 0.5000
Tl: 0.5000 0.5000 0.7615
Rh: 0.5000 0.5000 0.0000
Sm: 0.0000 0.0000 0.8988
Sm: 0.0000 0.0000 0.1012
Sm: 0.0000 0.0000 0.3680
Sm: 0.0000 0.0000 0.6320

Results
space-group type: P4/mmm
N(E_F): 0.727 states/eV/atom

***

Model ii:
A plane-wave DFT calculation with PBE was carried out for a relaxed structure of Sm4Tl3Rh.

Lattice parameters (Å, degrees): 3.9377 4.8949 11.6887 90.00 90.00 90.00
Fractional coordinates of all 8 atoms:
Sm: 0.5000 0.5000 0.3227
Sm: 0.0000 0.5000 0.8880
Sm: 0.0000 0.0000 0.1384
Sm: 0.5000 0.0000 0.6494
Tl: 0.0000 0.5000 0.5877
Tl: 0.0000 0.0000 0.4119
Tl: 0.5000 0.0000 0.9196
Rh: 0.5000 0.5000 0.0823

Results
space-group type: Pmm2
N(E_F): 0.993 states/eV/atom

***

Name the most stable of them. model i.

***

Model i:
A plane-wave DFT calculation with PBE was carried out for a relaxed structure of SmTmTlRh.

Lattice parameters (Å, degrees): 3.5067 3.5067 7.8304 90.00 90.00 90.00
Fractional coordinates of all 4 atoms:
Sm: 0.5000 0.5000 0.7856
Tm: 0.5000 0.5000 0.3610
Tl: 0.0000 0.0000 0.0835
Rh: 0.0000 0.0000 0.5546

Results
space-group type: P4mm
N(E_F): 0.816 states/eV/atom

***

Model ii:
A plane-wave DFT calculation with PBE was carried out for a relaxed structure of SmTmTlRh.

Lattice parameters (Å, degrees): 5.1380 5.1380 5.1380 60.00 60.00 60.00
Fractional coordinates of all 4 atoms:
Tl: 0.5000 0.5000 0.5000
Tm: 0.7500 0.7500 0.7500
Rh: 0.0000 0.0000 0.0000
Sm: 0.2500 0.2500 0.2500

Results
space-group type: F-43m
N(E_F): 0.552 states/eV/atom

***

Name the most stable of them. model i.